GGA-PBE ZnPb2Br, relaxed; relative energy among the computed polymorphs = 0.098 eV/atom; uncorrected formation energy = -0.059 eV per atom; D(E_F) = 1.45 states/eV/f.u.; ρ = 8.237 g/cm³; symmetry = No. 12
1.0
-1.7066 2.0071 -5.1010
-3.8017 -0.8066 -4.2258
-4.4352 3.7093 1.3082
Pb Zn Br
2 1 1
Cartesian
-4.5337 3.7138 1.0866 Pb
-4.8731 2.4504 -3.7877 Pb
-7.4575 3.6824 -6.0139 Zn
-2.4858 1.2275 -2.0046 Br

GGA-PBE Zn4PbBr, relaxed; uncorrected formation energy = 0.096 eV per atom; D(E_F) = 2.43 states/eV/f.u.; ρ = 7.284 g/cm³; symmetry = No. 216
1.0
0.0000 3.9696 3.9696
3.9696 0.0000 3.9696
3.9696 3.9696 0.0000
Zn Br Pb
4 1 1
Cartesian
4.9647 4.9647 2.9744 Zn
4.9647 2.9744 4.9647 Zn
2.9744 4.9647 4.9647 Zn
2.9744 2.9744 2.9744 Zn
5.9543 5.9543 5.9543 Br
0.0000 0.0000 0.0000 Pb

GGA-PBE ZnPbBr2, relaxed; relative energy among the computed polymorphs = 0.059 eV/atom; uncorrected formation energy = -0.426 eV per atom; ρ = 4.334 g/cm³; symmetry = No. 12
1.0
-1.9020 2.8641 -2.8215
-4.3668 0.8061 0.2489
-0.3436 8.4227 5.3698
Br Pb Zn
2 1 1
Cartesian
-3.1661 6.5815 1.8697 Br
-0.4836 7.8876 4.8987 Br
-4.9593 9.0697 2.0979 Pb
-1.6531 3.0232 0.6993 Zn

GGA-PBE Zn2PbBr6, relaxed; relative energy among the computed polymorphs = 0.000 eV/atom; uncorrected formation energy = -0.872 eV per atom; D(E_F) = 0.00 states/eV/f.u.; ρ = 4.376 g/cm³; symmetry = No. 15
1.0
7.1191 -0.2420 -0.2343
1.7631 9.2804 0.0256
1.7631 0.3263 9.2747
Br Zn Pb
12 4 2
Cartesian
5.5420 2.6321 3.9445 Br
6.4528 1.7000 0.1946 Br
5.1032 6.7327 5.1215 Br
8.6627 5.2160 6.4460 Br
2.8932 0.3706 1.8099 Br
8.5447 7.9023 3.5429 Br
1.9825 4.1488 2.6200 Br
4.1924 7.6647 8.8714 Br
4.9852 3.9181 7.9005 Br
7.7520 8.9941 7.2561 Br
2.1005 1.4625 5.5232 Br
5.6600 5.4467 1.1656 Br
3.1872 2.1816 3.4684 Zn
3.8984 5.9485 7.1151 Zn
6.7468 3.4163 1.9509 Zn
7.4580 7.1831 5.5977 Zn
7.1024 7.9834 1.0022 Pb
3.5428 1.3813 8.0639 Pb

GGA-PBE Zn2PbBr6, relaxed; relative energy among the computed polymorphs = 0.021 eV/atom; uncorrected formation energy = -0.851 eV per atom; D(E_F) = 0.00 states/eV/f.u.; ρ = 4.349 g/cm³; symmetry = No. 12
1.0
-0.0237 -1.0474 3.9551
6.8579 -1.5166 1.7558
3.7898 9.6599 4.6973
Br Zn Pb
6 2 1
Cartesian
8.4530 6.7449 8.1859 Br
4.4717 6.8966 3.9696 Br
3.1168 3.0005 5.0459 Br
7.5072 4.0953 5.3622 Br
6.1523 0.1992 6.4386 Br
2.1710 0.3509 2.2223 Br
9.0301 6.0356 5.8852 Zn
1.5939 1.0603 4.5230 Zn
5.3239 4.0716 3.2265 Pb

GGA-PBE ZnPb3Br, relaxed; relative energy among the computed polymorphs = 0.000 eV/atom; uncorrected formation energy = 0.198 eV per atom; D(E_F) = 3.88 states/eV/f.u.; ρ = 7.651 g/cm³; symmetry = No. 221
1.0
-2.6059 -4.3236 -2.1851
-1.4304 -1.6838 5.0376
-4.6284 2.9547 -0.3266
Pb Br Zn
3 1 1
Cartesian
-2.3142 1.4773 -0.1633 Pb
-0.7152 -0.8419 2.5188 Pb
-1.3030 -2.1618 -1.0925 Pb
-4.3323 -1.5264 1.2630 Br
0.0000 0.0000 0.0000 Zn

GGA-PBE ZnPb2Br, relaxed; relative energy among the computed polymorphs = 0.054 eV/atom; uncorrected formation energy = -0.103 eV per atom; D(E_F) = 2.63 states/eV/f.u.; ρ = 7.986 g/cm³; symmetry = No. 166
1.0
-7.1217 3.4858 3.2156
-8.2164 -0.3098 2.3674
-6.2625 0.5082 5.8080
Pb Zn Br
2 1 1
Cartesian
-21.3319 3.6384 11.2493 Pb
-11.0690 1.8879 5.8372 Pb
-5.4001 0.9211 2.8478 Zn
-16.2004 2.7632 8.5433 Br

GGA-PBE ZnPb2Br, relaxed; relative energy among the computed polymorphs = 0.113 eV/atom; uncorrected formation energy = -0.044 eV per atom; D(E_F) = 1.67 states/eV/f.u.; ρ = 8.061 g/cm³; symmetry = No. 10
1.0
5.4704 0.0000 0.0000
0.0000 3.6251 -0.0484
0.0000 0.2415 5.8106
Zn Pb Br
1 2 1
Cartesian
2.7352 0.9666 1.4406 Zn
0.0000 0.0485 0.0835 Pb
0.0000 1.8847 2.7976 Pb
2.7352 2.8999 4.3217 Br

GGA-PBE ZnPbBr2, relaxed; relative energy among the computed polymorphs = 0.120 eV/atom; uncorrected formation energy = -0.365 eV per atom; ρ = 5.528 g/cm³; symmetry = No. 44
1.0
-3.5456 -6.1405 -1.8958
2.8398 -6.5175 -1.8245
-0.6136 5.5190 4.7995
Zn Br Pb
1 2 1
Cartesian
-2.2158 -2.7529 0.7341 Zn
0.8957 -4.3986 0.3415 Br
-0.0115 -0.2054 -0.0604 Br
-0.3408 -6.1111 -1.7961 Pb

GGA-PBE ZnPbBr2, relaxed; relative energy among the computed polymorphs = 0.151 eV/atom; uncorrected formation energy = -0.334 eV per atom; D(E_F) = 0.96 states/eV/f.u.; ρ = 6.000 g/cm³; symmetry = No. 99
1.0
3.6954 0.0000 0.0000
0.0000 3.6954 0.0000
0.0000 0.0000 8.7640
Zn Pb Br
1 1 2
Cartesian
1.8477 1.8477 6.6811 Zn
0.0000 0.0000 4.5606 Pb
1.8477 1.8477 2.7218 Br
0.0000 0.0000 7.9466 Br

GGA-PBE ZnPb2Br6, relaxed; relative energy among the computed polymorphs = 0.000 eV/atom; uncorrected formation energy = -0.871 eV per atom; D(E_F) = 0.00 states/eV/f.u.; ρ = 4.780 g/cm³; symmetry = No. 15
1.0
5.8977 0.0761 -1.5508
-3.8942 10.0682 -3.2151
0.0456 -0.2516 11.2608
Br Zn Pb
12 2 4
Cartesian
-1.4897 5.3177 5.9921 Br
4.8196 1.0717 5.4196 Br
2.2311 3.4820 7.8424 Br
0.8414 6.9739 2.9470 Br
3.5869 0.2040 1.2387 Br
2.1229 7.8620 7.0965 Br
-1.5378 9.6887 5.2562 Br
-2.7705 8.8210 1.0752 Br
-0.0738 2.0307 -0.6017 Br
3.5388 4.5750 0.5027 Br
1.2077 2.9189 3.5478 Br
-0.1820 6.4107 -1.3475 Br
0.8386 1.5522 8.3696 Zn
1.2105 8.3406 -1.8747 Zn
0.4959 4.5107 0.7593 Pb
1.5532 5.3820 5.7356 Pb
-2.1943 7.4358 3.5767 Pb
4.2434 2.4569 2.9181 Pb

GGA-PBE ZnPb2Br, relaxed; relative energy among the computed polymorphs = 0.062 eV/atom; uncorrected formation energy = -0.094 eV per atom; D(E_F) = 1.40 states/eV/f.u.; ρ = 7.662 g/cm³; symmetry = No. 25
1.0
-1.6410 -0.0594 3.3264
1.0054 -5.4660 0.3983
5.1553 1.1351 2.5636
Zn Pb Br
1 2 1
Cartesian
3.2286 0.7109 1.6055 Zn
0.3204 -2.6222 2.1798 Pb
0.6497 0.1430 0.3231 Pb
2.8987 -2.0545 3.4618 Br

GGA-PBE Zn2PbBr2, relaxed; relative energy among the computed polymorphs = 0.121 eV/atom; uncorrected formation energy = -0.130 eV per atom; D(E_F) = 1.70 states/eV/f.u.; ρ = 5.194 g/cm³; symmetry = No. 127
1.0
-2.8779 -7.8159 -4.3745
7.3221 0.5934 -5.8772
1.9719 -1.9888 2.2560
Zn Br Pb
4 4 2
Cartesian
5.9598 -5.0586 -6.8025 Zn
5.0432 -1.3416 -2.7245 Zn
0.4564 -4.1526 -1.1932 Zn
1.3730 -7.8697 -5.2712 Zn
-0.2104 -5.9045 -5.0212 Br
0.8414 -2.0279 -2.5232 Br
3.6028 -5.1946 -7.7285 Br
4.6546 -1.3180 -5.2305 Br
0.0000 0.0000 0.0000 Pb
2.2221 -3.6112 -5.1258 Pb

GGA-PBE Zn2PbBr2, relaxed; relative energy among the computed polymorphs = 0.000 eV/atom; uncorrected formation energy = -0.252 eV per atom; D(E_F) = 1.92 states/eV/f.u.; ρ = 5.995 g/cm³; symmetry = No. 139
1.0
-0.1615 -3.7381 -0.2878
0.4086 0.2688 -3.7207
9.8477 -2.2343 -0.9724
Zn Br Pb
2 2 1
Cartesian
4.9048 -3.8535 -1.6322 Zn
5.1899 -1.8501 -3.3486 Zn
8.1456 -3.8752 -3.1704 Br
1.9492 -1.8285 -1.8105 Br
0.0000 0.0000 0.0000 Pb

GGA-PBE ZnPbBr2, relaxed; relative energy among the computed polymorphs = 0.135 eV/atom; uncorrected formation energy = -0.351 eV per atom; D(E_F) = 0.13 states/eV/f.u.; ρ = 4.687 g/cm³; symmetry = No. 10
1.0
4.2785 0.0000 0.0000
0.0000 6.5443 1.1890
0.0000 5.5513 6.4801
Br Zn Pb
2 1 1
Cartesian
0.0000 7.0892 6.7442 Br
0.0000 4.5100 3.5704 Br
2.1392 9.0717 5.7518 Zn
2.1392 3.0239 1.9173 Pb

GGA-PBE ZrZnPb2Br, relaxed; uncorrected formation energy = 0.209 eV per atom; D(E_F) = 4.85 states/eV/f.u.; ρ = 6.123 g/cm³; symmetry = No. 123
1.0
5.7955 0.0000 0.0000
0.0000 5.2561 0.0000
0.0000 0.0000 5.7955
Pb Br Zr Zn
2 1 1 1
Cartesian
2.8978 0.0000 0.0000 Pb
0.0000 0.0000 2.8978 Pb
0.0000 2.6281 0.0000 Br
0.0000 0.0000 0.0000 Zr
2.8978 2.6281 2.8978 Zn

GGA-PBE ZrPbBr6, relaxed; relative energy among the computed polymorphs = 0.010 eV/atom; uncorrected formation energy = -1.168 eV per atom; D(E_F) = 0.00 states/eV/f.u.; ρ = 4.615 g/cm³; symmetry = No. 148
1.0
7.0847 0.0091 0.0097
3.5344 6.1395 0.0136
3.5310 2.0409 6.4467
Br Zr Pb
6 1 1
Cartesian
5.8976 1.8419 1.5213 Br
8.2525 6.3475 4.9487 Br
5.7140 6.2463 1.5265 Br
8.4361 1.9431 4.9435 Br
9.6205 4.2026 1.5295 Br
4.5296 3.9868 4.9404 Br
0.0000 0.0000 0.0000 Zr
7.0751 4.0947 3.2350 Pb

GGA-PBE Zr3PbBr, relaxed; relative energy among the computed polymorphs = 0.000 eV/atom; uncorrected formation energy = 0.336 eV per atom; D(E_F) = 9.66 states/eV/f.u.; ρ = 7.385 g/cm³; symmetry = No. 221
1.0
-3.6399 -3.3919 0.6259
3.0378 -3.5835 -1.7539
1.6337 -0.8939 4.6559
Pb Zr Br
1 3 1
Cartesian
0.5158 -3.9347 1.7640 Pb
-1.8199 -1.6960 0.3130 Zr
1.5189 -1.7917 -0.8769 Zr
0.8168 -0.4469 2.3280 Zr
0.0000 0.0000 0.0000 Br

GGA-PBE Zr2Pb2Br, relaxed; uncorrected formation energy = -0.190 eV per atom; D(E_F) = 5.52 states/eV/f.u.; ρ = 8.921 g/cm³; symmetry = No. 127
1.0
7.7375 0.0000 0.0000
0.0000 7.7375 0.0000
0.0000 0.0000 4.2084
Pb Zr Br
4 4 2
Cartesian
6.6409 2.7721 2.1042 Pb
4.9654 6.6409 2.1042 Pb
2.7721 1.0966 2.1042 Pb
1.0966 4.9654 2.1042 Pb
5.0951 1.2264 0.0000 Zr
1.2264 2.6424 0.0000 Zr
6.5112 5.0951 0.0000 Zr
2.6424 6.5112 0.0000 Zr
3.8688 3.8688 0.0000 Br
0.0000 0.0000 0.0000 Br

GGA-PBE Zr4PbBr, relaxed; uncorrected formation energy = 0.272 eV per atom; D(E_F) = 7.18 states/eV/f.u.; ρ = 7.381 g/cm³; symmetry = No. 216
1.0
0.0000 4.1858 4.1858
4.1858 0.0000 4.1858
4.1858 4.1858 0.0000
Zr Pb Br
4 1 1
Cartesian
5.2481 3.1235 5.2481 Zr
3.1235 5.2481 5.2481 Zr
3.1235 3.1235 3.1235 Zr
5.2481 5.2481 3.1235 Zr
0.0000 0.0000 0.0000 Pb
6.2787 6.2787 6.2787 Br